[1]
Material: LaPr2Si4Ni2Pd2
Method: DFT, PBE
State: relaxed

The structure in POSCAR format:
```
LaPr2Si4Ni2Pd2
1.0
-2.0615 2.1157 12.0958
2.0615 -2.1157 12.0958
2.0615 2.1157 -12.0958
La Pr Si Ni Pd
1 2 4 2 2
Direct
0.0000 0.0000 0.0000 La
0.3477 0.8477 0.5000 Pr
0.6523 0.1523 0.5000 Pr
0.2036 0.7036 0.5000 Si
0.4506 0.4506 0.0000 Si
0.5494 0.5494 0.0000 Si
0.7964 0.2964 0.5000 Si
0.2492 0.2492 0.0000 Ni
0.7508 0.7508 0.0000 Ni
0.1005 0.6005 0.5000 Pd
0.8995 0.3995 0.5000 Pd
```

## Properties
Volume in Å³ per cell: 211.0
Raw total energy in eV per cell: -67.17

[2]
Material: TaOs
Method: DFT, PBE
State: relaxed

The structure in POSCAR format:
```
TaOs
1.0
0.0000 2.8953 2.8953
2.8953 0.0000 2.8953
2.8953 2.8953 0.0000
Ta Os
1 1
Direct
0.0000 0.0000 0.0000 Ta
0.2500 0.2500 0.2500 Os
```

## Properties
Volume in Å³ per cell: 48.5
Raw total energy in eV per cell: -20.47